Model one:
DFT (GGA-PBE) results for an optimized crystal structure of CaAc2Nd.

Cell: 3.8966 3.8966 38.1029 Å, 90.00 90.00 120.00°
Space group R3m (No. 160, hexagonal axes)
Asymmetric unit:
Ca1 0.0000 0.0000 0.0000
Ac1 0.0000 0.0000 0.5800
Ac2 0.0000 0.0000 0.7533
Nd1 0.0000 0.0000 0.1666

Values from the calculation:
The calculation puts the density of states at the Fermi level at 1.3133 states/eV per atom.

=====

Model two:
DFT (GGA-PBE) results for an optimized crystal structure of CaAc2Nd.

Cell: 5.589 5.589 5.256 Å, 90.00 90.00 90.00°
Space group P4/mmm (No. 123)
Asymmetric unit:
Ca1 0.000 0.000 0.000
Ac1 0.000 0.500 0.500
Nd1 0.500 0.500 0.000

Values from the calculation:
The calculation puts the density of states at the Fermi level at 1.3940 states/eV per atom.

=====

Which of the structures shown above is the most stable? The most stable is model one.